An optimized crystal structure of TiMo2O8, computed with GGA+U.

Calculated values
Raw total energy: -7.442 eV/atom
DOS at the Fermi energy: 0.000 states/eV/cell
Volume: 732.5 Å³ per cell

abc: 12.5320 6.9401 10.3692
angles: 90.00 125.69 90.00
Last column: nearest neighbours and their distance in Å.
Space group C2/c (No. 15)
One atom of each set of equivalent atoms:
Ti 0.0000 0.0375 0.2500 (multiplicity 4)  6 O 1.97-1.99
Mo 0.0387 0.2829 0.5012 (multiplicity 8)  4 O 1.80-1.86
O 0.0508 0.1800 0.6707 (multiplicity 8)  1 Mo 1.82, 1 Ti 1.99
O 0.0976 0.2154 0.2052 (multiplicity 8)  1 Mo 1.86, 1 Ti 1.97
O 0.1152 0.4858 0.0350 (multiplicity 8)  1 Mo 1.80
O 0.1362 0.1137 0.4735 (multiplicity 8)  1 Mo 1.83, 1 Ti 1.99